No. 1
! Cd2ReOs PBE-GGA optimized geometry; values from VASP
&SYSTEM
  ibrav = 0, nat = 4, ntyp = 3
/
ATOMIC_SPECIES
Cd 112.41 Cd.upf
Re 186.21 Re.upf
Os 190.23 Os.upf
ATOMIC_POSITIONS crystal
Cd 0.0000 0.0000 0.0000
Cd 0.5000 0.5000 0.2816
Re 0.5000 0.5000 0.7432
Os 0.0000 0.0000 0.5349
CELL_PARAMETERS angstrom
1.4618 -2.3950 0.0000
1.4618 2.3950 0.0000
0.0000 0.0000 10.1120
! Total DFT energy (no corrections), eV per formula unit: -23.60
! Formation enthalpy at 0 K, meV/atom: 478
! Energy above the most stable polymorph in this dataset, eV per atom: 0.268
! ρ, kg/m3: 14101

=====

No. 2
! TbZrCo PBE-GGA optimized geometry; values from VASP
&SYSTEM
  ibrav = 0, nat = 12, ntyp = 3
/
ATOMIC_SPECIES
Tb 158.93 Tb.upf
Zr 91.22 Zr.upf
Co 58.93 Co.upf
ATOMIC_POSITIONS crystal
Tb 0.1865 0.1347 0.3920
Tb 0.1865 0.3653 0.8920
Tb 0.8135 0.6347 0.1080
Tb 0.8135 0.8653 0.6080
Zr 0.3294 0.6259 0.6279
Zr 0.3294 0.8741 0.1279
Zr 0.6706 0.1259 0.8721
Zr 0.6706 0.3741 0.3721
Co 0.3379 0.6410 0.3556
Co 0.3379 0.8590 0.8556
Co 0.6621 0.1410 0.1444
Co 0.6621 0.3590 0.6444
CELL_PARAMETERS angstrom
6.4777 0.0000 0.0000
0.0000 5.8705 0.0000
-5.3949 0.0000 7.1603
! Total DFT energy (no corrections), eV per formula unit: -20.45
! Formation enthalpy at 0 K, meV/atom: -54
! Energy above the most stable polymorph in this dataset, eV per atom: 0.116
! ρ, kg/m3: 7540

=====

No. 3
! SiHgO2F PBE-GGA optimized geometry; values from VASP
&SYSTEM
  ibrav = 0, nat = 5, ntyp = 4
/
ATOMIC_SPECIES
Si 28.09 Si.upf
Hg 200.59 Hg.upf
O 16.00 O.upf
F 19.00 F.upf
ATOMIC_POSITIONS crystal
Si 0.0000 0.0000 0.0000
Hg 0.5000 0.5000 0.5000
O 0.0000 0.5000 0.5000
O 0.5000 0.0000 0.5000
F 0.5000 0.5000 0.0000
CELL_PARAMETERS angstrom
4.2228 0.0000 0.0000
0.0000 4.2228 0.0000
0.0000 0.0000 4.3939
! Total DFT energy (no corrections), eV per formula unit: -16.86
! Energy relative to the elements, uncorrected, eV per atom: 0.130
! ρ, kg/m3: 5927

=====

No. 4
! Tb7Tl2Cd PBE-GGA optimized geometry; values from VASP
&SYSTEM
  ibrav = 0, nat = 10, ntyp = 3
/
ATOMIC_SPECIES
Tb 158.93 Tb.upf
Tl 204.38 Tl.upf
Cd 112.41 Cd.upf
ATOMIC_POSITIONS crystal
Tb 0.0000 0.0000 0.0000
Tb 0.0000 0.0000 0.2613
Tb 0.0000 0.0000 0.7361
Tb 0.3333 0.6667 0.4107
Tb 0.3333 0.6667 0.8806
Tb 0.6667 0.3333 0.1295
Tb 0.6667 0.3333 0.5831
Tl 0.0000 0.0000 0.4988
Tl 0.6667 0.3333 0.8455
Cd 0.3333 0.6667 0.1432
CELL_PARAMETERS angstrom
5.2886 0.0000 0.0000
-2.6443 4.5801 0.0000
0.0000 0.0000 12.8670
! Total DFT energy (no corrections), eV per formula unit: -38.46
! Formation enthalpy at 0 K, meV/atom: -41
! ρ, kg/m3: 8704

=====

No. 5
! GaHgSb2Pd PBE-GGA optimized geometry; values from VASP
&SYSTEM
  ibrav = 0, nat = 5, ntyp = 4
/
ATOMIC_SPECIES
Ga 69.72 Ga.upf
Hg 200.59 Hg.upf
Sb 121.76 Sb.upf
Pd 106.42 Pd.upf
ATOMIC_POSITIONS crystal
Ga 0.0000 0.0000 0.0000
Hg 0.5000 0.5000 0.0000
Sb 0.0000 0.5000 0.5000
Sb 0.5000 0.0000 0.5000
Pd 0.5000 0.5000 0.5000
CELL_PARAMETERS angstrom
5.2543 0.0000 0.0000
0.0000 5.2543 0.0000
0.0000 0.0000 5.2140
! Total DFT energy (no corrections), eV per formula unit: -15.57
! Energy above the most stable polymorph in this dataset, eV per atom: 0.000
! Energy relative to the elements, uncorrected, eV per atom: 0.240
! ρ, kg/m3: 7155

=====

No. 6
! ZnNi7Te2As2 PBE-GGA optimized geometry; values from VASP
&SYSTEM
  ibrav = 0, nat = 12, ntyp = 4
/
ATOMIC_SPECIES
Zn 65.41 Zn.upf
Ni 58.69 Ni.upf
Te 127.60 Te.upf
As 74.92 As.upf
ATOMIC_POSITIONS crystal
Zn 0.0000 0.0000 0.0000
Ni 0.0618 0.5617 0.1255
Ni 0.3003 0.3003 0.6027
Ni 0.4383 0.9382 0.8745
Ni 0.5000 0.5000 0.0000
Ni 0.5617 0.0618 0.1255
Ni 0.6997 0.6997 0.3973
Ni 0.9382 0.4383 0.8745
Te 0.2085 0.2085 0.4158
Te 0.7915 0.7915 0.5842
As 0.3875 0.3875 0.7725
As 0.6125 0.6125 0.2275
CELL_PARAMETERS angstrom
2.6105 -2.6122 0.0000
2.6105 2.6122 0.0000
-2.5816 0.0000 13.8308
! Total DFT energy (no corrections), eV per formula unit: -59.46
! Energy relative to the elements, uncorrected, eV per atom: -0.178
! ρ, kg/m3: 7759

=====

No. 7
! B5C7 PBE-GGA optimized geometry; values from VASP
&SYSTEM
  ibrav = 0, nat = 12, ntyp = 2
/
ATOMIC_SPECIES
B 10.81 B.upf
C 12.01 C.upf
ATOMIC_POSITIONS crystal
B 0.0000 0.0000 0.0000
B 0.0382 0.0000 0.7183
B 0.2876 0.0000 0.2832
B 0.3580 0.0000 0.0187
B 0.6837 0.0000 0.3904
C 0.1503 0.5000 0.3913
C 0.2024 0.5000 0.6224
C 0.5227 0.5000 0.7118
C 0.5291 0.5000 0.9509
C 0.6683 0.0000 0.6409
C 0.8192 0.5000 0.0650
C 0.8404 0.5000 0.2983
CELL_PARAMETERS angstrom
4.7976 0.0000 0.0000
0.0000 2.5668 0.0000
-1.0658 0.0000 6.3355
! Total DFT energy (no corrections), eV per formula unit: -94.22
! Formation enthalpy at 0 K, meV/atom: 311
! Energy above the most stable polymorph in this dataset, eV per atom: 0.053
! ρ, kg/m3: 2940

=====

No. 8
! BeFeAs2 PBE-GGA optimized geometry; values from VASP
&SYSTEM
  ibrav = 0, nat = 8, ntyp = 3
/
ATOMIC_SPECIES
Be 9.01 Be.upf
Fe 55.84 Fe.upf
As 74.92 As.upf
ATOMIC_POSITIONS crystal
Be 0.0000 0.0000 0.0000
Be 0.7500 0.2500 0.5000
Fe 0.2500 0.7500 0.5000
Fe 0.5000 0.5000 0.0000
As 0.1151 0.6250 0.9901
As 0.3750 0.3651 0.4901
As 0.6349 0.1250 0.0099
As 0.8750 0.8849 0.5099
CELL_PARAMETERS angstrom
-2.6953 2.6953 5.0688
2.6953 -2.6953 5.0688
2.6953 2.6953 -5.0688
! Total DFT energy (no corrections), eV per formula unit: -20.65
! Formation enthalpy at 0 K, meV/atom: 209
! Energy above the most stable polymorph in this dataset, eV per atom: 0.220
! ρ, kg/m3: 4841